Ba3Tm2O3F4: optimized geometry, PBE-GGA.

Output
The calculation puts the total energy at -75.9 eV for the cell shown. The value obtained for the total magnetic moment is 0.0 μB per cell. Its raw formation energy is -74.6 kcal/mol of atoms. Its symmetry is Imm2, No. 44.

Lattice parameters (Å, degrees): 14.385 14.385 14.385 162.42 25.22 162.07
Sites, in units of the cell vectors:
Ba 0.000 0.000 0.000
Ba 0.003 0.184 0.819
Ba 0.365 0.184 0.181
Tm 0.355 0.930 0.424
Tm 0.506 0.930 0.576
O 0.283 0.365 0.919
O 0.393 0.893 0.500
O 0.446 0.365 0.081
F 0.248 0.902 0.345
F 0.557 0.902 0.655
F 0.846 0.417 0.429
F 0.988 0.417 0.571

=====

Ba3Tm2O4F3: optimized geometry, PBE-GGA.

Output
The calculation puts the total energy at -78.6 eV for the cell shown. The value obtained for the total magnetic moment is 0.0 μB per cell. Its raw formation energy is -73.8 kcal/mol of atoms. Its symmetry is Immm, No. 71.

Lattice parameters (Å, degrees): 12.223 12.223 12.223 159.94 159.81 28.61
Sites, in units of the cell vectors:
Ba 0.000 0.000 0.000
Ba 0.198 0.198 0.000
Ba 0.802 0.802 0.000
Tm 0.398 0.398 0.000
Tm 0.602 0.602 0.000
O 0.086 0.586 0.500
O 0.309 0.309 0.000
O 0.691 0.691 0.000
O 0.914 0.414 0.500
F 0.421 0.921 0.500
F 0.500 0.500 0.000
F 0.579 0.079 0.500

=====

Ba2UO3F3: optimized geometry, PBE-GGA.

Output
The calculation puts the total energy at -65.5 eV for the cell shown. The value obtained for the total magnetic moment is 1.0 μB per cell. Its raw formation energy is -76.5 kcal/mol of atoms. Its symmetry is P-62m, No. 189.

Lattice parameters (Å, degrees): 6.876 6.876 3.411 90.00 90.00 120.00
Sites, in units of the cell vectors:
Ba 0.333 0.667 0.000
Ba 0.667 0.333 0.000
U 0.000 0.000 0.500
O 0.000 0.782 0.000
O 0.218 0.218 0.000
O 0.782 0.000 0.000
F 0.000 0.400 0.500
F 0.400 0.000 0.500
F 0.600 0.600 0.500

=====

Ba2UO4F2: optimized geometry, PBE-GGA.

Output
The calculation puts the total energy at -67.3 eV for the cell shown. The value obtained for the total magnetic moment is 0.0 μB per cell. Its raw formation energy is -73.2 kcal/mol of atoms. Its symmetry is I4/mmm, No. 139.

Lattice parameters (Å, degrees): 6.061 6.061 6.061 117.53 117.53 94.34
Sites, in units of the cell vectors:
Ba 0.250 0.750 0.500
Ba 0.750 0.250 0.500
U 0.000 0.000 0.000
O 0.224 0.224 0.448
O 0.224 0.776 0.000
O 0.776 0.224 0.000
O 0.776 0.776 0.552
F 0.272 0.272 0.000
F 0.728 0.728 0.000

=====

Ba2UO2F4: optimized geometry, PBE-GGA.

Output
The calculation puts the total energy at -63.3 eV for the cell shown. The value obtained for the total magnetic moment is 2.0 μB per cell. Its raw formation energy is -78.8 kcal/mol of atoms. Its symmetry is C2/m, No. 12.

Lattice parameters (Å, degrees): 6.390 6.390 4.350 91.70 91.70 62.44
Sites, in units of the cell vectors:
Ba 0.169 0.169 0.276
Ba 0.831 0.831 0.724
U 0.500 0.500 0.000
O 0.336 0.336 0.762
O 0.664 0.664 0.238
F 0.130 0.703 0.241
F 0.297 0.870 0.759
F 0.703 0.130 0.241
F 0.870 0.297 0.759